[1]
# ZnHCS2, relaxed, DFT PBE
data_ZnHCS2
_chemical_formula_sum 'Zn1 H1 C1 S2'
_space_group_name_H-M_alt 'P 4/m m m'
_space_group_IT_number 123
_space_group_name_Hall '-P 4 2'
_cell_length_a 3.407
_cell_length_b 3.407
_cell_length_c 7.378
_cell_angle_alpha 90.00
_cell_angle_beta 90.00
_cell_angle_gamma 90.00
loop_
_atom_site_label
_atom_site_type_symbol
_atom_site_fract_x
_atom_site_fract_y
_atom_site_fract_z
Zn1 Zn 0.000 0.000 0.000
H1 H 0.000 0.000 0.500
C1 C 0.500 0.500 0.000
S1 S 0.000 0.500 0.500
# **Crystal system**: tetragonal
# **Calculated total energy**: -2.8800 eV/atom
# **N(E_F)**: 1.690 states/eV/f.u.


[2]
# Zr6HC2S3, relaxed, DFT PBE
data_Zr6HC2S3
_chemical_formula_sum 'Zr12 H2 C4 S6'
_space_group_name_H-M_alt 'C 1 2/m 1'
_space_group_IT_number 12
_cell_length_a 5.973
_cell_length_b 10.398
_cell_length_c 6.342
_cell_angle_alpha 90.00
_cell_angle_beta 108.19
_cell_angle_gamma 90.00
loop_
_space_group_symop_operation_xyz
'x,y,z'
'-x,-y,-z'
'-x,y,-z'
'x,-y,z'
'x+1/2,y+1/2,z'
'-x+1/2,-y+1/2,-z'
'-x+1/2,y+1/2,-z'
'x+1/2,-y+1/2,z'
loop_
_atom_site_label
_atom_site_type_symbol
_atom_site_fract_x
_atom_site_fract_y
_atom_site_fract_z
Zr1 Zr 0.225 0.000 0.205
Zr2 Zr 0.244 0.325 0.213
H1 H 0.000 0.500 0.000
C1 C 0.000 0.165 0.000
S1 S 0.000 0.000 0.500
S2 S 0.000 0.337 0.500
# **Crystal system**: monoclinic
# **Calculated total energy**: -8.2181 eV/atom
# **N(E_F)**: 6.411 states/eV/f.u.


[3]
# SbH2CSe, relaxed, DFT PBE
data_SbH2CSe
_chemical_formula_sum 'Sb1 H2 C1 Se1'
_space_group_name_H-M_alt 'P 4/m m m'
_space_group_IT_number 123
_space_group_name_Hall '-P 4 2'
_cell_length_a 3.940
_cell_length_b 3.940
_cell_length_c 4.208
_cell_angle_alpha 90.00
_cell_angle_beta 90.00
_cell_angle_gamma 90.00
loop_
_atom_site_label
_atom_site_type_symbol
_atom_site_fract_x
_atom_site_fract_y
_atom_site_fract_z
Sb1 Sb 0.000 0.000 0.000
H1 H 0.000 0.500 0.500
C1 C 0.500 0.500 0.500
Se1 Se 0.500 0.500 0.000
# **Crystal system**: tetragonal
# **Calculated total energy**: -3.2692 eV/atom
# **N(E_F)**: 2.650 states/eV/f.u.


[4]
# SbTe2HC, relaxed, DFT PBE
data_SbTe2HC
_chemical_formula_sum 'Sb1 Te2 H1 C1'
_space_group_name_H-M_alt 'P 4/m m m'
_space_group_IT_number 123
_space_group_name_Hall '-P 4 2'
_cell_length_a 4.815
_cell_length_b 4.815
_cell_length_c 4.689
_cell_angle_alpha 90.00
_cell_angle_beta 90.00
_cell_angle_gamma 90.00
loop_
_atom_site_label
_atom_site_type_symbol
_atom_site_fract_x
_atom_site_fract_y
_atom_site_fract_z
Sb1 Sb 0.000 0.000 0.000
Te1 Te 0.000 0.500 0.500
H1 H 0.500 0.500 0.000
C1 C 0.000 0.000 0.500
# **Polymorph energy (0 for the lowest one)**: 0.000 eV per atom
# **Crystal system**: tetragonal
# **N(E_F)**: 2.781 states/eV/f.u.


[5]
# SbTe2HC, relaxed, DFT PBE
data_SbTe2HC
_chemical_formula_sum 'Sb1 Te2 H1 C1'
_space_group_name_H-M_alt 'P 4/m m m'
_space_group_IT_number 123
_space_group_name_Hall '-P 4 2'
_cell_length_a 5.046
_cell_length_b 5.046
_cell_length_c 3.915
_cell_angle_alpha 90.00
_cell_angle_beta 90.00
_cell_angle_gamma 90.00
loop_
_atom_site_label
_atom_site_type_symbol
_atom_site_fract_x
_atom_site_fract_y
_atom_site_fract_z
Sb1 Sb 0.000 0.000 0.000
Te1 Te 0.000 0.500 0.500
H1 H 0.000 0.000 0.500
C1 C 0.500 0.500 0.000
# **Polymorph energy (0 for the lowest one)**: 0.247 eV per atom
# **Crystal system**: tetragonal
# **N(E_F)**: 4.394 states/eV/f.u.


[6]
# Sm4HCSe2, relaxed, DFT PBE
data_Sm4HCSe2
_chemical_formula_sum 'Sm4 H1 C1 Se2'
_space_group_name_H-M_alt 'P 1 2/m 1'
_space_group_IT_number 10
_cell_length_a 6.712
_cell_length_b 3.926
_cell_length_c 6.967
_cell_angle_alpha 90.00
_cell_angle_beta 107.49
_cell_angle_gamma 90.00
loop_
_space_group_symop_operation_xyz
'x,y,z'
'-x,-y,-z'
'-x,y,-z'
'x,-y,z'
loop_
_atom_site_label
_atom_site_type_symbol
_atom_site_fract_x
_atom_site_fract_y
_atom_site_fract_z
Sm1 Sm 0.227 0.000 0.203
Sm2 Sm 0.236 0.500 0.774
H1 H 0.500 0.000 0.000
C1 C 0.000 0.500 0.000
Se1 Se 0.000 0.000 0.500
Se2 Se 0.500 0.500 0.500
# **Crystal system**: monoclinic
# **Calculated total energy**: -5.8638 eV/atom
# **N(E_F)**: 3.071 states/eV/f.u.


[7]
# Sm8HC3Se4, relaxed, DFT PBE
data_Sm8HC3Se4
_chemical_formula_sum 'Sm24 H3 C9 Se12'
_space_group_name_H-M_alt 'R -3 m'
_space_group_IT_number 166
_space_group_name_Hall '-R 3 2"'
_cell_length_a 7.7745
_cell_length_b 7.7745
_cell_length_c 20.0264
_cell_angle_alpha 90.00
_cell_angle_beta 90.00
_cell_angle_gamma 120.00
loop_
_atom_site_label
_atom_site_type_symbol
_atom_site_fract_x
_atom_site_fract_y
_atom_site_fract_z
Sm1 Sm 0.0000 0.0000 0.2357
Sm2 Sm 0.0160 0.5080 0.7624
H1 H 0.0000 0.0000 0.5000
C1 C 0.0000 0.5000 0.5000
Se1 Se 0.0000 0.0000 0.0000
Se2 Se 0.0000 0.5000 0.0000
# **Crystal system**: trigonal
# **Calculated total energy**: -6.2400 eV/atom
# **N(E_F)**: 5.720 states/eV/f.u.


[8]
# SnH2CSe, relaxed, DFT PBE
data_SnH2CSe
_chemical_formula_sum 'Sn1 H2 C1 Se1'
_space_group_name_H-M_alt 'P 4/m m m'
_space_group_IT_number 123
_space_group_name_Hall '-P 4 2'
_cell_length_a 3.743
_cell_length_b 3.743
_cell_length_c 4.611
_cell_angle_alpha 90.00
_cell_angle_beta 90.00
_cell_angle_gamma 90.00
loop_
_atom_site_label
_atom_site_type_symbol
_atom_site_fract_x
_atom_site_fract_y
_atom_site_fract_z
Sn1 Sn 0.000 0.000 0.000
H1 H 0.000 0.500 0.500
C1 C 0.000 0.000 0.500
Se1 Se 0.500 0.500 0.000
# **Crystal system**: tetragonal
# **Calculated total energy**: -3.5554 eV/atom
# **N(E_F)**: 0.656 states/eV/f.u.